[1]
This record from the Alexandria database describes a relaxed DyHoAu6 crystal. The functional is GGA-PBE.

abc: 5.1134 5.1134 8.9840
angles: 115.99 115.99 52.33
Sites, in units of the cell vectors:
Dy  0.0000  0.0000  0.0000
Ho  0.0000  0.0000  0.5000
Au  0.2512  0.2512  0.3765
Au  0.2507  0.2507  0.8744
Au  0.4993  0.4993  0.2501
Au  0.5007  0.5007  0.7499
Au  0.7493  0.7493  0.1256
Au  0.7488  0.7488  0.6235

Its volume is 20.28 Å³ per atom. As for the formation energy: -676 meV per atom.

[2]
This record from the Alexandria database describes a relaxed DyHo3Au4 crystal. The functional is GGA-PBE.

abc: 8.8140 8.8140 8.8140
angles: 33.42 33.42 33.42
Sites, in units of the cell vectors:
Dy  0.0000  0.0000  0.0000
Ho  0.2499  0.2499  0.2499
Ho  0.5000  0.5000  0.5000
Ho  0.7501  0.7501  0.7501
Au  0.1254  0.1254  0.1254
Au  0.3754  0.3754  0.3754
Au  0.6246  0.6246  0.6246
Au  0.8746  0.8746  0.8746

Its volume is 23.12 Å³ per atom. As for the formation energy: -869 meV per atom.